La2Pm4Tm5 | PBE | optimized geometry

Unit cell a=3.5422 b=11.7670 c=8.9876 alpha=94.59 beta=101.36 gamma=90.00
Atoms (fractional coordinates):
1 La 0.7138 0.3481 0.4276
2 La 0.2862 0.6519 0.5724
3 Pm 0.3590 0.2009 0.7180
4 Pm 0.9662 0.7460 0.9323
5 Pm 0.6410 0.7991 0.2820
6 Pm 0.0338 0.2540 0.0677
7 Tm 0.9063 0.4586 0.8126
8 Tm 0.0937 0.5414 0.1874
9 Tm 0.8234 0.9364 0.6467
10 Tm 0.5000 0.0000 0.0000
11 Tm 0.1766 0.0636 0.3533

Computed properties:
D(E_F), states/eV/f.u.: 15.49
Energy relative to the elements, eV/atom: 0.075
Polymorph energy (0 for the lowest one), meV/atom: 0

=====

AlCo4Sb | PBE | optimized geometry

Unit cell a=4.8393 b=4.8393 c=4.8393 alpha=60.00 beta=60.00 gamma=60.00
Last column: magnetic moment on the atom in μB.
Atoms (fractional coordinates):
1 Al 0.0000 0.0000 0.0000  -0.02
2 Co 0.8767 0.3744 0.3744  1.45
3 Co 0.3744 0.3744 0.8767  1.45
4 Co 0.3744 0.8767 0.3744  1.45
5 Co 0.3744 0.3744 0.3744  1.45
6 Sb 0.7500 0.7500 0.7500  0.00

Computed properties:
Calculated total energy, eV per cell: -35.723
D(E_F), states/eV/f.u.: 8.92

=====

MnNi2As | PBE | optimized geometry

Unit cell a=3.8087 b=2.7779 c=4.9842 alpha=73.80 beta=90.00 gamma=90.00
Last column: magnetic moment on the atom in μB.
Atoms (fractional coordinates):
1 As 0.0000 0.3086 0.5104  -0.07
2 Mn 0.5000 0.6953 0.7336  3.10
3 Ni 0.0000 0.0543 0.0162  0.28
4 Ni 0.5000 0.4418 0.2398  0.17

Computed properties:
D(E_F), states/eV/f.u.: 3.38
Energy relative to the elements, eV/atom: -0.062

=====

Tb2Pm3PrTm6 | PBE | optimized geometry

Unit cell a=6.1755 b=6.1755 c=11.6980 alpha=95.03 beta=95.03 gamma=119.98
Atoms (fractional coordinates):
1 Tb 0.3333 0.6667 0.0000
2 Tb 0.6667 0.3333 0.0000
3 Pm 0.1668 0.8332 0.5000
4 Pm 0.8332 0.1668 0.5000
5 Pm 0.5000 0.5000 0.5000
6 Pr 0.0000 0.0000 0.0000
7 Tm 0.9163 0.5825 0.7508
8 Tm 0.7497 0.7497 0.2492
9 Tm 0.0837 0.4175 0.2492
10 Tm 0.5825 0.9163 0.7508
11 Tm 0.2503 0.2503 0.7508
12 Tm 0.4175 0.0837 0.2492

Computed properties:
D(E_F), states/eV/f.u.: 13.76
Energy relative to the elements, eV/atom: 0.018